This record from the Alexandria database describes FeTeRh2O6 after structural relaxation. The functional is GGA+U.

Output
Space group: P1 (1)
Crystal system: triclinic
VASP energy, eV/atom: -6.1672

```
FeTeRh2O6
1.0
5.453 -0.030 -0.023
2.701 4.758 -0.034
2.698 1.554 4.541
Te O Fe Rh
1 6 1 2
Direct
0.305 0.308 0.082
0.142 0.397 0.750
0.399 0.704 0.756
0.650 0.230 0.227
0.887 0.652 0.239
0.230 0.888 0.235
0.704 0.140 0.753
0.808 0.810 0.582
0.519 0.519 0.441
0.017 0.015 0.951
```